Record 1
Material: Pm2PrPt
Method: DFT, PBE
State: relaxed

Results
Magnetic moment (μB per cell): 0.0
Density of states at the Fermi level (states/eV/cell): 5.4
Total energy (eV/atom): -5.60
Offset from the most stable computed form (meV per atom): 115
Formation energy (eV per atom): -0.515

Cell lengths 3.647, 3.647, 8.951 Å; angles 90.00, 90.00, 90.00 degrees
Element x y z (fractional)
1 Pt 0.500 0.500 0.000
2 Pm 0.000 0.000 0.812
3 Pm 0.000 0.000 0.188
4 Pr 0.500 0.500 0.500

Record 2
Material: PmPr3Pt
Method: DFT, PBE
State: relaxed

Results
Magnetic moment (μB per cell): 0.0
Density of states at the Fermi level (states/eV/cell): 12.4
Total energy (eV/atom): -5.49
Offset from the most stable computed form (meV per atom): 0
Formation energy (eV per atom): -0.466

Cell lengths 3.903, 6.567, 13.087 Å; angles 86.24, 81.42, 72.71 degrees
Element x y z (fractional)
1 Pr 0.450 0.947 0.153
2 Pr 0.989 0.107 0.915
3 Pr 0.429 0.623 0.518
4 Pr 0.102 0.171 0.625
5 Pr 0.764 0.715 0.756
6 Pr 0.784 0.045 0.387
7 Pm 0.223 0.557 0.997
8 Pm 0.111 0.497 0.281
9 Pt 0.442 0.336 0.779
10 Pt 0.765 0.339 0.131

Record 3
Material: PmPrPt
Method: DFT, PBE
State: relaxed

Results
Magnetic moment (μB per cell): 0.0
Density of states at the Fermi level (states/eV/cell): 7.3
Total energy (eV/atom): -5.86
Offset from the most stable computed form (meV per atom): 60
Formation energy (eV per atom): -0.671

Cell lengths 3.626, 7.348, 6.962 Å; angles 104.51, 105.12, 90.04 degrees
Element x y z (fractional)
1 Pt 0.934 0.279 0.633
2 Pt 0.944 0.825 0.656
3 Pr 0.564 0.614 0.899
4 Pr 0.313 0.490 0.390
5 Pm 0.573 0.123 0.911
6 Pm 0.305 0.981 0.377

Record 4
Material: Pm3Pr2Pt2
Method: DFT, PBE
State: relaxed

Results
Magnetic moment (μB per cell): 0.0
Density of states at the Fermi level (states/eV/cell): 8.5
Total energy (eV/atom): -5.83
Formation energy (eV per atom): -0.698

Cell lengths 3.889, 6.608, 9.311 Å; angles 114.71, 90.00, 107.11 degrees
Element x y z (fractional)
1 Pm 0.384 0.768 0.566
2 Pm 0.616 0.232 0.434
3 Pm 0.500 0.000 0.000
4 Pr 0.162 0.325 0.812
5 Pr 0.838 0.675 0.188
6 Pt 0.831 0.662 0.762
7 Pt 0.169 0.338 0.238

Record 5
Material: Pm3Pr3Pt2
Method: DFT, PBE
State: relaxed

Results
Magnetic moment (μB per cell): 0.0
Density of states at the Fermi level (states/eV/cell): 16.9
Total energy (eV/atom): -5.65
Offset from the most stable computed form (meV per atom): 0
Formation energy (eV per atom): -0.561

Cell lengths 5.006, 6.736, 15.578 Å; angles 90.00, 90.00, 111.81 degrees
Element x y z (fractional)
1 Pr 0.959 0.918 0.119
2 Pr 0.041 0.082 0.619
3 Pr 0.352 0.705 0.750
4 Pr 0.959 0.918 0.381
5 Pr 0.648 0.295 0.250
6 Pr 0.041 0.082 0.881
7 Pt 0.806 0.612 0.616
8 Pt 0.194 0.388 0.384
9 Pt 0.194 0.388 0.116
10 Pt 0.806 0.612 0.884
11 Pm 0.648 0.295 0.750
12 Pm 0.352 0.705 0.250
13 Pm 0.351 0.702 0.978
14 Pm 0.351 0.702 0.522
15 Pm 0.649 0.298 0.478
16 Pm 0.649 0.298 0.022

Record 6
Material: Pm2PrPt
Method: DFT, PBE
State: relaxed

Results
Magnetic moment (μB per cell): 0.0
Density of states at the Fermi level (states/eV/cell): 11.5
Total energy (eV/atom): -5.68
Offset from the most stable computed form (meV per atom): 30
Formation energy (eV per atom): -0.601

Cell lengths 3.928, 6.457, 9.892 Å; angles 90.00, 90.00, 107.72 degrees
Element x y z (fractional)
1 Pr 0.575 0.149 0.750
2 Pr 0.425 0.851 0.250
3 Pm 0.862 0.724 0.564
4 Pm 0.138 0.276 0.436
5 Pm 0.138 0.276 0.064
6 Pm 0.862 0.724 0.936
7 Pt 0.269 0.537 0.750
8 Pt 0.731 0.463 0.250

Record 7
Material: PmPrPt6
Method: DFT, PBE
State: relaxed

Results
Magnetic moment (μB per cell): 0.0
Density of states at the Fermi level (states/eV/cell): 10.7
Total energy (eV/atom): -6.27
Formation energy (eV per atom): -0.549

Cell lengths 5.399, 5.399, 5.399 Å; angles 90.00, 90.00, 90.00 degrees
Element x y z (fractional)
1 Pt 0.000 0.500 0.251
2 Pt 0.500 0.749 0.000
3 Pt 0.500 0.251 0.000
4 Pt 0.749 0.000 0.500
5 Pt 0.251 0.000 0.500
6 Pt 0.000 0.500 0.749
7 Pr 0.000 0.000 0.000
8 Pm 0.500 0.500 0.500

Record 8
Material: Pm3Pr3Pt2
Method: DFT, PBE
State: relaxed

Results
Magnetic moment (μB per cell): 0.0
Density of states at the Fermi level (states/eV/cell): 20.2
Total energy (eV/atom): -5.60
Offset from the most stable computed form (meV per atom): 41
Formation energy (eV per atom): -0.520

Cell lengths 3.941, 7.043, 18.746 Å; angles 90.00, 90.00, 106.25 degrees
Element x y z (fractional)
1 Pr 0.946 0.891 0.406
2 Pr 0.054 0.109 0.594
3 Pr 0.308 0.616 0.750
4 Pr 0.946 0.891 0.094
5 Pr 0.054 0.109 0.906
6 Pr 0.692 0.384 0.250
7 Pm 0.667 0.334 0.054
8 Pm 0.421 0.842 0.250
9 Pm 0.333 0.666 0.946
10 Pm 0.579 0.158 0.750
11 Pm 0.333 0.666 0.554
12 Pm 0.667 0.334 0.446
13 Pt 0.281 0.562 0.133
14 Pt 0.719 0.438 0.633
15 Pt 0.719 0.438 0.867
16 Pt 0.281 0.562 0.367

Record 9
Material: PmPr3Pt8
Method: DFT, PBE
State: relaxed

Results
Magnetic moment (μB per cell): 0.0
Density of states at the Fermi level (states/eV/cell): 1.9
Total energy (eV/atom): -6.67
Formation energy (eV per atom): -1.049

Cell lengths 5.527, 5.527, 9.582 Å; angles 73.24, 73.24, 60.00 degrees
Element x y z (fractional)
1 Pt 0.938 0.938 0.687
2 Pt 0.937 0.437 0.189
3 Pt 0.437 0.437 0.189
4 Pt 0.938 0.438 0.687
5 Pt 0.188 0.188 0.437
6 Pt 0.438 0.938 0.687
7 Pt 0.437 0.937 0.189
8 Pt 0.687 0.687 0.938
9 Pr 0.500 0.500 0.499
10 Pr 0.000 0.000 0.001
11 Pr 0.375 0.375 0.875
12 Pm 0.875 0.875 0.375

Record 10
Material: PmPrPt10
Method: DFT, PBE
State: relaxed

Results
Magnetic moment (μB per cell): 0.0
Density of states at the Fermi level (states/eV/cell): 8.9
Total energy (eV/atom): -6.55
Formation energy (eV per atom): -0.717

Cell lengths 4.439, 5.435, 9.370 Å; angles 90.00, 90.00, 90.00 degrees
Element x y z (fractional)
1 Pt 0.000 0.000 0.666
2 Pt 0.000 0.500 0.832
3 Pt 0.500 0.750 0.749
4 Pt 0.500 0.250 0.251
5 Pt 0.000 0.500 0.168
6 Pt 0.500 0.250 0.749
7 Pt 0.500 0.500 0.000
8 Pt 0.000 0.000 0.334
9 Pt 0.500 0.000 0.500
10 Pt 0.500 0.750 0.251
11 Pm 0.000 0.500 0.500
12 Pr 0.000 0.000 0.000

Record 11
Material: Pm2PrPt
Method: DFT, PBE
State: relaxed

Results
Magnetic moment (μB per cell): 0.0
Density of states at the Fermi level (states/eV/cell): 4.6
Total energy (eV/atom): -5.55
Offset from the most stable computed form (meV per atom): 163
Formation energy (eV per atom): -0.468

Cell lengths 3.941, 3.941, 9.934 Å; angles 78.56, 78.56, 60.00 degrees
Element x y z (fractional)
1 Pr 0.500 0.500 0.500
2 Pm 0.272 0.272 0.183
3 Pm 0.728 0.728 0.817
4 Pt 0.000 0.000 0.000

Record 12
Material: Pm4PrPt2
Method: DFT, PBE
State: relaxed

Results
Magnetic moment (μB per cell): 0.0
Density of states at the Fermi level (states/eV/cell): 16.5
Total energy (eV/atom): -5.73
Offset from the most stable computed form (meV per atom): 25
Formation energy (eV per atom): -0.605

Cell lengths 6.708, 7.918, 8.256 Å; angles 112.93, 90.00, 90.00 degrees
Element x y z (fractional)
1 Pm 0.991 0.408 0.765
2 Pm 0.491 0.592 0.235
3 Pm 0.250 0.252 0.350
4 Pm 0.509 0.408 0.765
5 Pm 0.750 0.014 0.384
6 Pm 0.750 0.748 0.650
7 Pm 0.009 0.592 0.235
8 Pm 0.250 0.986 0.616
9 Pt 0.250 0.253 0.993
10 Pt 0.750 0.375 0.404
11 Pt 0.750 0.747 0.007
12 Pt 0.250 0.625 0.596
13 Pr 0.250 0.853 0.977
14 Pr 0.750 0.147 0.023

Record 13
Material: PmPr5Pt4
Method: DFT, PBE
State: relaxed

Results
Magnetic moment (μB per cell): 0.0
Density of states at the Fermi level (states/eV/cell): 8.0
Total energy (eV/atom): -6.12
Formation energy (eV per atom): -0.840

Cell lengths 4.251, 8.248, 9.416 Å; angles 105.85, 103.04, 90.00 degrees
Element x y z (fractional)
1 Pr 0.500 0.500 0.000
2 Pr 0.166 0.860 0.332
3 Pr 0.834 0.140 0.668
4 Pr 0.166 0.346 0.331
5 Pr 0.834 0.654 0.669
6 Pt 0.998 0.745 0.997
7 Pt 0.002 0.255 0.003
8 Pt 0.671 0.110 0.342
9 Pt 0.329 0.890 0.658
10 Pm 0.500 0.000 0.000

Record 14
Material: PmPrPt4
Method: DFT, PBE
State: relaxed

Results
Magnetic moment (μB per cell): 0.0
Density of states at the Fermi level (states/eV/cell): 0.6
Total energy (eV/atom): -6.68
Formation energy (eV per atom): -1.061

Cell lengths 5.519, 5.519, 5.519 Å; angles 60.00, 60.00, 60.00 degrees
Element x y z (fractional)
1 Pt 0.125 0.625 0.625
2 Pt 0.625 0.125 0.625
3 Pt 0.625 0.625 0.125
4 Pt 0.625 0.625 0.625
5 Pm 0.000 0.000 0.000
6 Pr 0.250 0.250 0.250

Record 15
Material: Pm5PrPt6
Method: DFT, PBE
State: relaxed

Results
Magnetic moment (μB per cell): 0.0
Density of states at the Fermi level (states/eV/cell): 8.6
Total energy (eV/atom): -6.47
Formation energy (eV per atom): -1.069

Cell lengths 5.109, 7.115, 8.814 Å; angles 66.19, 73.44, 90.00 degrees
Element x y z (fractional)
1 Pm 0.334 0.333 0.334
2 Pm 0.000 0.500 0.000
3 Pm 0.334 0.834 0.333
4 Pm 0.666 0.166 0.667
5 Pm 0.666 0.667 0.666
6 Pt 0.500 0.745 0.000
7 Pt 0.169 0.422 0.661
8 Pt 0.169 0.917 0.661
9 Pt 0.831 0.578 0.339
10 Pt 0.500 0.255 0.000
11 Pt 0.831 0.083 0.339
12 Pr 0.000 0.000 0.000

Record 16
Material: Pm3Pr2Pt4
Method: DFT, PBE
State: relaxed

Results
Magnetic moment (μB per cell): 0.0
Density of states at the Fermi level (states/eV/cell): 12.0
Total energy (eV/atom): -6.37
Offset from the most stable computed form (meV per atom): 0
Formation energy (eV per atom): -1.044

Cell lengths 8.093, 7.741, 7.775 Å; angles 90.00, 90.00, 108.47 degrees
Element x y z (fractional)
1 Pr 0.407 0.798 0.678
2 Pr 0.907 0.798 0.822
3 Pr 0.093 0.202 0.178
4 Pr 0.593 0.202 0.322
5 Pt 0.629 0.906 0.032
6 Pt 0.129 0.906 0.468
7 Pt 0.375 0.496 0.369
8 Pt 0.875 0.496 0.131
9 Pt 0.371 0.094 0.968
10 Pt 0.871 0.094 0.532
11 Pt 0.125 0.504 0.869
12 Pt 0.625 0.504 0.631
13 Pm 0.500 0.500 0.000
14 Pm 0.000 0.500 0.500
15 Pm 0.251 0.242 0.666
16 Pm 0.749 0.758 0.334
17 Pm 0.751 0.242 0.834
18 Pm 0.249 0.758 0.166

Record 17
Material: PmPr3Pt
Method: DFT, PBE
State: relaxed

Results
Magnetic moment (μB per cell): 0.0
Density of states at the Fermi level (states/eV/cell): 12.0
Total energy (eV/atom): -5.43
Offset from the most stable computed form (meV per atom): 63
Formation energy (eV per atom): -0.403

Cell lengths 5.704, 7.657, 7.675 Å; angles 102.99, 90.00, 90.01 degrees
Element x y z (fractional)
1 Pt 0.543 0.723 0.826
2 Pt 0.043 0.392 0.156
3 Pm 0.043 0.731 0.392
4 Pm 0.043 0.069 0.900
5 Pr 0.543 0.960 0.167
6 Pr 0.543 0.007 0.628
7 Pr 0.043 0.194 0.442
8 Pr 0.543 0.466 0.499
9 Pr 0.543 0.415 0.019
10 Pr 0.043 0.586 0.848

Record 18
Material: Pm5Pr2Pt4
Method: DFT, PBE
State: relaxed

Results
Magnetic moment (μB per cell): 0.0
Density of states at the Fermi level (states/eV/cell): 12.4
Total energy (eV/atom): -5.85
Formation energy (eV per atom): -0.626

Cell lengths 3.858, 6.964, 12.758 Å; angles 85.59, 98.70, 90.00 degrees
Element x y z (fractional)
1 Pm 0.234 0.270 0.467
2 Pm 0.866 0.195 0.733
3 Pm 0.766 0.730 0.533
4 Pm 0.500 0.000 0.000
5 Pm 0.134 0.805 0.267
6 Pt 0.670 0.506 0.341
7 Pt 0.974 0.301 0.948
8 Pt 0.026 0.699 0.052
9 Pt 0.330 0.494 0.659
10 Pr 0.090 0.334 0.180
11 Pr 0.910 0.666 0.820

Record 19
Material: PmPr4Pt
Method: DFT, PBE
State: relaxed

Results
Magnetic moment (μB per cell): 0.0
Density of states at the Fermi level (states/eV/cell): 14.4
Total energy (eV/atom): -5.26
Formation energy (eV per atom): -0.280

Cell lengths 5.348, 6.582, 11.487 Å; angles 90.00, 103.46, 90.00 degrees
Element x y z (fractional)
1 Pt 0.606 0.658 0.212
2 Pt 0.394 0.158 0.788
3 Pm 0.131 0.435 0.262
4 Pm 0.869 0.935 0.738
5 Pr 0.663 0.071 0.327
6 Pr 0.527 0.293 0.053
7 Pr 0.337 0.571 0.673
8 Pr 0.737 0.565 0.474
9 Pr 0.473 0.793 0.947
10 Pr 0.071 0.912 0.143
11 Pr 0.929 0.412 0.857
12 Pr 0.263 0.065 0.526

Record 20
Material: Pm3Pr4Pt2
Method: DFT, PBE
State: relaxed

Results
Magnetic moment (μB per cell): 0.0
Density of states at the Fermi level (states/eV/cell): 10.4
Total energy (eV/atom): -5.54
Formation energy (eV per atom): -0.492

Cell lengths 3.881, 9.373, 8.840 Å; angles 111.85, 102.68, 90.00 degrees
Element x y z (fractional)
1 Pt 0.618 0.438 0.236
2 Pt 0.382 0.562 0.764
3 Pm 0.071 0.183 0.143
4 Pm 0.929 0.817 0.857
5 Pm 0.000 0.500 0.000
6 Pr 0.372 0.117 0.745
7 Pr 0.770 0.341 0.541
8 Pr 0.230 0.659 0.459
9 Pr 0.628 0.883 0.255